A geometry-optimized GeMo2RuO structure, computed with PBE+U.

```
data_GeMo2RuO
_cell_length_a 5.0452
_cell_length_b 4.6858
_cell_length_c 5.0452
_cell_angle_alpha 90.00
_cell_angle_beta 90.00
_cell_angle_gamma 90.00
_symmetry_space_group_name_H-M 'P 1'
_symmetry_Int_Tables_number 1
loop_
_symmetry_equiv_pos_as_xyz
'x,y,z'
loop_
_atom_site_label
_atom_site_type_symbol
_atom_site_fract_x
_atom_site_fract_y
_atom_site_fract_z
O1 O 0.5000 0.5000 0.5000
Mo1 Mo 0.5000 0.0000 0.0000
Mo2 Mo 0.0000 0.0000 0.5000
Ge1 Ge 0.0000 0.5000 0.0000
Ru1 Ru 0.0000 0.0000 0.0000
```

DOS(E_F)   3.613 states/eV/f.u.
Total DFT energy (no corrections)   -25.87 eV for the cell shown